No. 1
First-principles (PBE) data for an optimized crystal structure of PmPrDyMg, as listed in Alexandria.

- Energy above the lowest structure with this stoichiometry: 0.0 meV per atom
- DFT formation energy: -0.033 eV/atom
- Density of states at the Fermi level: 4.50 states/eV/cell
- Total magnetic moment: 0.00 μB per formula unit

Lattice parameters (Å, degrees): 3.6993 3.6993 9.1694 90.00 90.00 90.00
Fractional coordinates of all 4 atoms:
Pm 0.5000 0.5000 0.7973
Pr 0.0000 0.0000 0.0760
Dy 0.5000 0.5000 0.3458
Mg 0.0000 0.0000 0.5656


No. 2
First-principles (PBE) data for an optimized crystal structure of Pm3Pr6Dy2Mg, as listed in Alexandria.

- DFT formation energy: 0.024 eV/atom
- Density of states at the Fermi level: 14.00 states/eV/cell
- Total magnetic moment: 0.00 μB per formula unit

Lattice parameters (Å, degrees): 6.3277 6.3277 11.9476 95.10 95.10 120.08
Fractional coordinates of all 12 atoms:
Pm 0.1668 0.8332 0.5000
Pm 0.8332 0.1668 0.5000
Pm 0.5000 0.5000 0.5000
Pr 0.9197 0.5876 0.7548
Pr 0.7488 0.7488 0.2467
Pr 0.0803 0.4124 0.2452
Pr 0.5876 0.9197 0.7548
Pr 0.2512 0.2512 0.7533
Pr 0.4124 0.0803 0.2452
Dy 0.3334 0.6666 0.0000
Dy 0.6666 0.3334 0.0000
Mg 0.0000 0.0000 0.0000


No. 3
First-principles (PBE) data for an optimized crystal structure of Pm2Pr4DyMg, as listed in Alexandria.

- DFT formation energy: 0.004 eV/atom
- Density of states at the Fermi level: 10.40 states/eV/cell
- Total magnetic moment: 0.00 μB per formula unit

Lattice parameters (Å, degrees): 5.1181 5.1189 11.4187 63.36 90.00 90.00
Fractional coordinates of all 8 atoms:
Pm 0.0000 0.0000 0.0000
Pm 0.5000 0.0000 0.5000
Pr 0.0000 0.7471 0.7530
Pr 0.0000 0.2529 0.2470
Pr 0.5000 0.7524 0.2474
Pr 0.5000 0.2476 0.7526
Dy 0.0000 0.5000 0.5000
Mg 0.5000 0.5000 0.0000


No. 4
First-principles (PBE) data for an optimized crystal structure of PmPr4Dy2Mg, as listed in Alexandria.

- DFT formation energy: 0.057 eV/atom
- Density of states at the Fermi level: 11.52 states/eV/cell
- Total magnetic moment: 0.00 μB per formula unit

Lattice parameters (Å, degrees): 5.8209 5.8294 9.7826 53.40 90.00 90.00
Fractional coordinates of all 8 atoms:
Pm 0.5000 0.5000 0.0000
Pr 0.0000 0.7645 0.7352
Pr 0.0000 0.2355 0.2648
Pr 0.5000 0.7337 0.2663
Pr 0.5000 0.2663 0.7337
Dy 0.0000 0.0000 0.0000
Dy 0.5000 0.0000 0.5000
Mg 0.0000 0.5000 0.5000


No. 5
First-principles (PBE) data for an optimized crystal structure of PmPr2DyMg, as listed in Alexandria.

- DFT formation energy: 0.151 eV/atom
- Density of states at the Fermi level: 16.35 states/eV/cell
- Total magnetic moment: 0.00 μB per formula unit

Lattice parameters (Å, degrees): 7.4728 7.4330 5.9840 90.01 90.00 90.00
Fractional coordinates of all 10 atoms:
Pm 0.1526 0.5000 0.7500
Pm 0.8474 0.5000 0.2500
Pr 0.6873 0.7183 0.7500
Pr 0.6873 0.2817 0.7500
Pr 0.3127 0.7183 0.2500
Pr 0.3127 0.2817 0.2500
Dy 0.6323 0.0000 0.2500
Dy 0.3677 0.0000 0.7500
Mg 0.0000 0.0000 0.0000
Mg 0.0000 0.0000 0.5000


No. 6
First-principles (PBE) data for an optimized crystal structure of PmDy2MgRh4, as listed in Alexandria.

- DFT formation energy: -0.749 eV/atom
- Density of states at the Fermi level: 2.81 states/eV/cell
- Total magnetic moment: 0.00 μB per formula unit

Lattice parameters (Å, degrees): 4.7704 4.7704 8.3189 73.34 73.34 60.00
Fractional coordinates of all 8 atoms:
Pm 0.0000 0.0000 0.0000
Dy 0.7565 0.7565 0.7304
Dy 0.2435 0.2435 0.2696
Mg 0.5000 0.5000 0.5000
Rh 0.3781 0.3781 0.8656
Rh 0.8744 0.8744 0.3768
Rh 0.1256 0.1256 0.6232
Rh 0.6219 0.6219 0.1344


No. 7
First-principles (PBE) data for an optimized crystal structure of PmDy4MgS8, as listed in Alexandria.

- ΔE_f (raw): -1.909 eV per atom
- Density of states at the Fermi level: 3.60 states/eV/cell
- Total magnetic moment: 0.00 μB per formula unit

Lattice parameters (Å, degrees): 8.0007 8.0007 8.0284 60.11 60.11 60.00
Fractional coordinates of all 14 atoms:
Pm 0.0024 0.0024 0.9928
Dy 0.6255 0.6255 0.1235
Dy 0.0027 0.4918 0.5028
Dy 0.4918 0.0027 0.5028
Dy 0.0027 0.0027 0.5028
Mg 0.3753 0.3753 0.8740
S 0.2502 0.7595 0.7401
S 0.7595 0.2502 0.7401
S 0.2502 0.2502 0.7401
S 0.2463 0.2463 0.2611
S 0.7536 0.2275 0.2653
S 0.2275 0.7536 0.2653
S 0.7536 0.7536 0.2653
S 0.7587 0.7587 0.7240


No. 8
First-principles (PBE) data for an optimized crystal structure of PmDyMgSb, as listed in Alexandria.

- ΔE_f (raw): -0.424 eV per atom
- Density of states at the Fermi level: 3.95 states/eV/cell
- Total magnetic moment: 0.00 μB per formula unit

Lattice parameters (Å, degrees): 5.3666 5.3666 5.3666 60.00 60.00 60.00
Fractional coordinates of all 4 atoms:
Sb 0.0000 0.0000 0.0000
Mg 0.5000 0.5000 0.5000
Pm 0.7500 0.7500 0.7500
Dy 0.2500 0.2500 0.2500


No. 9
First-principles (PBE) data for an optimized crystal structure of PmDyMgSc, as listed in Alexandria.

- Energy above the lowest structure with this stoichiometry: 0.0 meV per atom
- DFT formation energy: 0.021 eV/atom
- Density of states at the Fermi level: 4.58 states/eV/cell
- Total magnetic moment: 0.00 μB per formula unit

Lattice parameters (Å, degrees): 5.4245 5.4245 5.4245 60.00 60.00 60.00
Fractional coordinates of all 4 atoms:
Sc 0.0000 0.0000 0.0000
Mg 0.5000 0.5000 0.5000
Pm 0.7500 0.7500 0.7500
Dy 0.2500 0.2500 0.2500


No. 10
First-principles (PBE) data for an optimized crystal structure of Pm2Dy6MgSc3, as listed in Alexandria.

- DFT formation energy: 0.040 eV/atom
- Density of states at the Fermi level: 16.32 states/eV/cell
- Total magnetic moment: 0.00 μB per formula unit

Lattice parameters (Å, degrees): 6.0189 6.0189 11.4146 95.07 95.07 120.03
Fractional coordinates of all 12 atoms:
Pm 0.3333 0.6667 0.0000
Pm 0.6667 0.3333 0.0000
Dy 0.9138 0.5815 0.7398
Dy 0.7539 0.7539 0.2603
Dy 0.0862 0.4185 0.2602
Dy 0.5815 0.9138 0.7398
Dy 0.2461 0.2461 0.7397
Dy 0.4185 0.0862 0.2602
Mg 0.0000 0.0000 0.0000
Sc 0.1652 0.8348 0.5000
Sc 0.8348 0.1652 0.5000
Sc 0.5000 0.5000 0.5000


No. 11
First-principles (PBE) data for an optimized crystal structure of PmDyMgSc, as listed in Alexandria.

- Energy above the lowest structure with this stoichiometry: 74.1 meV per atom
- DFT formation energy: 0.095 eV/atom
- Density of states at the Fermi level: 6.65 states/eV/cell
- Total magnetic moment: 0.05 μB per formula unit

Lattice parameters (Å, degrees): 3.3680 3.4095 10.1576 90.00 99.54 89.99
Fractional coordinates of all 4 atoms:
Pm 0.4351 0.9300 0.8688
Dy 0.2783 0.4301 0.5571
Mg 0.0557 0.4286 0.1117
Sc 0.6613 0.9299 0.3231


No. 12
First-principles (PBE) data for an optimized crystal structure of Pm2SmDy2Mg, as listed in Alexandria.

- DFT formation energy: 0.201 eV/atom
- Density of states at the Fermi level: 18.15 states/eV/cell
- Total magnetic moment: 0.00 μB per formula unit

Lattice parameters (Å, degrees): 6.7632 6.3799 10.1523 108.31 109.46 90.00
Fractional coordinates of all 12 atoms:
Pm 0.8066 0.1543 0.3085
Pm 0.5019 0.6543 0.3085
Pm 0.4981 0.3457 0.6915
Pm 0.1934 0.8457 0.6915
Sm 0.0000 0.7500 0.0000
Sm 0.0000 0.2500 0.0000
Dy 0.3080 0.1544 0.3089
Dy 0.6920 0.8456 0.6911
Dy 0.9991 0.3456 0.6911
Dy 0.0009 0.6544 0.3089
Mg 0.5000 0.7500 0.0000
Mg 0.5000 0.2500 0.0000


Copy entry 7 word for word.
First-principles (PBE) data for an optimized crystal structure of PmDy4MgS8, as listed in Alexandria.

- ΔE_f (raw): -1.909 eV per atom
- Density of states at the Fermi level: 3.60 states/eV/cell
- Total magnetic moment: 0.00 μB per formula unit

Lattice parameters (Å, degrees): 8.0007 8.0007 8.0284 60.11 60.11 60.00
Fractional coordinates of all 14 atoms:
Pm 0.0024 0.0024 0.9928
Dy 0.6255 0.6255 0.1235
Dy 0.0027 0.4918 0.5028
Dy 0.4918 0.0027 0.5028
Dy 0.0027 0.0027 0.5028
Mg 0.3753 0.3753 0.8740
S 0.2502 0.7595 0.7401
S 0.7595 0.2502 0.7401
S 0.2502 0.2502 0.7401
S 0.2463 0.2463 0.2611
S 0.7536 0.2275 0.2653
S 0.2275 0.7536 0.2653
S 0.7536 0.7536 0.2653
S 0.7587 0.7587 0.7240


Copy entry 6 word for word.
First-principles (PBE) data for an optimized crystal structure of PmDy2MgRh4, as listed in Alexandria.

- DFT formation energy: -0.749 eV/atom
- Density of states at the Fermi level: 2.81 states/eV/cell
- Total magnetic moment: 0.00 μB per formula unit

Lattice parameters (Å, degrees): 4.7704 4.7704 8.3189 73.34 73.34 60.00
Fractional coordinates of all 8 atoms:
Pm 0.0000 0.0000 0.0000
Dy 0.7565 0.7565 0.7304
Dy 0.2435 0.2435 0.2696
Mg 0.5000 0.5000 0.5000
Rh 0.3781 0.3781 0.8656
Rh 0.8744 0.8744 0.3768
Rh 0.1256 0.1256 0.6232
Rh 0.6219 0.6219 0.1344


- Among the records above, which one has the lowest density of states at the Fermi level?
  PmDy2MgRh4